1.
Below is a relaxed structure of AcPd2PtO8, with properties calculated at the GGA-PBE level.

a b c (Å): 6.1245 6.1245 6.1245
angles (deg): 108.84 108.84 110.73
Closest atoms and distances in Å follow each position.
Fractional positions:
Pd (0.5000, 0.5000, 0.0000)  4 O 1.92
Pd (0.7500, 0.2500, 0.5000)  4 O 2.02
O (0.2759, 0.1187, 0.8428)  1 Pd 1.92
O (0.9483, 0.6544, 0.7061)  1 Pd 2.02, 1 Pt 2.13
O (0.8813, 0.7241, 0.1572)  1 Pd 1.92
O (0.7577, 0.0517, 0.7061)  1 Pd 2.02, 1 Pt 2.13
O (0.5669, 0.7241, 0.8428)  1 Pd 1.92
O (0.9483, 0.2423, 0.2939)  1 Pd 2.02, 1 Pt 2.13
O (0.3456, 0.0517, 0.2939)  1 Pd 2.02, 1 Pt 2.13
O (0.2759, 0.4331, 0.1572)  1 Pd 1.92
Pt (0.0000, 0.0000, 0.0000)  8 O 2.13-2.22
Ac (0.2500, 0.7500, 0.5000)  8 O 2.45-2.56

Computed properties:
Formation energy without anion corrections, eV per atom: -0.477
M_tot, μB per atom: 0.10
VASP energy, eV per atom: -5.493

---

2.
Below is a relaxed structure of NbSiGe, with properties calculated at the GGA-PBE level.

a b c (Å): 3.4843 3.4843 8.1593
angles (deg): 90.00 90.00 90.00
Closest atoms and distances in Å follow each position.
Fractional positions:
Ge (0.0000, 0.5000, 0.4033)  5 Nb 2.77-2.84, 4 Ge 2.93
Ge (0.5000, 0.0000, 0.5967)  5 Nb 2.77-2.84, 4 Ge 2.93
Nb (0.5000, 0.0000, 0.2485)  4 Si 2.67, 5 Ge 2.77-2.84
Nb (0.0000, 0.5000, 0.7515)  4 Si 2.67, 5 Ge 2.77-2.84
Si (0.5000, 0.5000, 0.0000)  4 Si 2.46, 4 Nb 2.67
Si (0.0000, 0.0000, 0.0000)  4 Si 2.46, 4 Nb 2.67

Computed properties:
Formation energy without anion corrections, eV per atom: -0.375
M_tot, μB per atom: 0.00
VASP energy, eV per atom: -7.079
Energy above the lowest structure with this stoichiometry, kJ per mole of atoms: 5.5

---

3.
Below is a relaxed structure of La2InRe, with properties calculated at the GGA-PBE level.

a b c (Å): 5.5475 5.5475 5.5475
angles (deg): 129.75 129.75 73.81
Closest atoms and distances in Å follow each position.
Fractional positions:
La (0.0000, 0.0000, 0.0000)  4 In 3.24, 4 La 3.24, 4 Re 3.33
La (0.2500, 0.7500, 0.5000)  4 Re 3.24, 4 La 3.24, 4 In 3.33
Re (0.5000, 0.5000, 0.0000)  8 La 3.24-3.33, 4 In 3.24
In (0.7500, 0.2500, 0.5000)  8 La 3.24-3.33, 4 Re 3.24

Computed properties:
Energy of formation from the pure elements, eV per atom: 0.220
M_tot, μB per atom: 0.00
VASP energy, eV per atom: -6.040

---

4.
Below is a relaxed structure of Na2Mg3In6, with properties calculated at the GGA-PBE level.

a b c (Å): 4.3564 8.6349 8.6349
angles (deg): 94.63 90.00 90.00
Closest atoms and distances in Å follow each position.
Fractional positions:
Mg (0.0000, 0.1966, 0.1966)  6 In 3.03-3.04, 2 Mg 3.17
Mg (0.0000, 0.8034, 0.8034)  6 In 3.03-3.04, 2 Mg 3.17
Mg (0.5000, 0.0000, 0.0000)  4 In 2.90, 4 Mg 3.17
In (0.5000, 0.3774, 0.3774)  3 In 2.87-3.18, 2 Mg 3.04
In (0.5000, 0.6632, 0.9924)  1 In 2.83, 3 Mg 2.90-3.03
In (0.5000, 0.9924, 0.6632)  1 In 2.83, 3 Mg 2.90-3.03
In (0.5000, 0.3368, 0.0076)  1 In 2.83, 3 Mg 2.90-3.03
In (0.5000, 0.6226, 0.6226)  3 In 2.87-3.18, 2 Mg 3.04
In (0.5000, 0.0076, 0.3368)  1 In 2.83, 3 Mg 2.90-3.03
Na (0.0000, 0.6926, 0.3074)  8 In 3.48-3.58
Na (0.0000, 0.3074, 0.6926)  8 In 3.48-3.58

Computed properties:
Energy of formation from the pure elements, eV per atom: 0.061
M_tot, μB per atom: 0.00
VASP energy, eV per atom: -2.108